TiTl2ReGe | PBE | optimized geometry

The crystal system is tetragonal. The calculation puts the volume at 27.9 Å³/atom. The value obtained for the formation energy is 1.495 eV/atom.

The space group is P4/mmm (No. 123) and the conventional cell measures 5.349, 5.349 and 4.874 Å, with angles of 90.00, 90.00 and 90.00 degrees. Symmetry generates all atoms from Ti at (0.000, 0.000, 0.000), Tl at (0.000, 0.500, 0.000), Re at (0.500, 0.500, 0.500) and Ge at (0.000, 0.000, 0.500).



Ti2ZnReGe | PBE | optimized geometry

The crystal system is tetragonal. The calculation puts the volume at 21.9 Å³/atom. The value obtained for the formation energy is 0.600 eV/atom.

The space group is P4/mmm (No. 123) and the conventional cell measures 4.798, 4.798 and 4.758 Å, with angles of 90.00, 90.00 and 90.00 degrees. Symmetry generates all atoms from Ti at (0.000, 0.500, 0.000), Zn at (0.000, 0.000, 0.500), Re at (0.500, 0.500, 0.000) and Ge at (0.500, 0.500, 0.500).



TlReGe2 | PBE | optimized geometry

The crystal system is cubic. The calculation puts the excess energy over the best structure of this formula in the dataset at 61.8 kJ per mole of atoms. The calculation puts the volume at 18.6 Å³/atom. The value obtained for the formation energy is 0.898 eV/atom.

The space group is Fm-3m (No. 225) and the conventional cell measures 6.678, 6.678 and 6.678 Å, with angles of 90.00, 90.00 and 90.00 degrees. Symmetry generates all atoms from Tl at (0.000, 0.000, 0.000), Re at (0.000, 0.000, 0.500) and Ge at (0.250, 0.250, 0.250).



Tl3ReGe | PBE | optimized geometry

The crystal system is cubic. The calculation puts the excess energy over the best structure of this formula in the dataset at 49.8 kJ per mole of atoms. The calculation puts the volume at 32.2 Å³/atom. The value obtained for the formation energy is 1.495 eV/atom.

The space group is Pm-3m (No. 221) and the conventional cell measures 5.443, 5.443 and 5.443 Å, with angles of 90.00, 90.00 and 90.00 degrees. Symmetry generates all atoms from Tl at (0.000, 0.000, 0.500), Re at (0.500, 0.500, 0.500) and Ge at (0.000, 0.000, 0.000).



Tl3ReGe | PBE | optimized geometry

The crystal system is cubic. The calculation puts the excess energy over the best structure of this formula in the dataset at 0.0 kJ per mole of atoms. The calculation puts the volume at 30.6 Å³/atom. The value obtained for the formation energy is 0.979 eV/atom.

The space group is Pm-3m (No. 221) and the conventional cell measures 5.346, 5.346 and 5.346 Å, with angles of 90.00, 90.00 and 90.00 degrees. Symmetry generates all atoms from Tl at (0.000, 0.000, 0.500), Re at (0.000, 0.000, 0.000) and Ge at (0.500, 0.500, 0.500).



TlRe2Ge | PBE | optimized geometry

The crystal system is tetragonal. The calculation puts the excess energy over the best structure of this formula in the dataset at 0.0 kJ per mole of atoms. The calculation puts the volume at 20.1 Å³/atom. The value obtained for the formation energy is 0.913 eV/atom.

The space group is I-42d (No. 122) and the conventional cell measures 4.168, 4.168 and 18.525 Å, with angles of 90.00, 90.00 and 90.00 degrees. Symmetry generates all atoms from Tl at (0.000, 0.000, 0.000), Re at (0.154, 0.250, 0.625) and Ge at (0.000, 0.000, 0.500).



TlRe3Ge | PBE | optimized geometry

The crystal system is cubic. The calculation puts the excess energy over the best structure of this formula in the dataset at 148.2 kJ per mole of atoms. The calculation puts the volume at 24.5 Å³/atom. The value obtained for the formation energy is 3.338 eV/atom.

The space group is Pm-3m (No. 221) and the conventional cell measures 4.969, 4.969 and 4.969 Å, with angles of 90.00, 90.00 and 90.00 degrees. Symmetry generates all atoms from Tl at (0.000, 0.000, 0.000), Re at (0.000, 0.000, 0.500) and Ge at (0.500, 0.500, 0.500).



TlReGe3 | PBE | optimized geometry

The crystal system is cubic. The calculation puts the excess energy over the best structure of this formula in the dataset at 0.0 kJ per mole of atoms. The calculation puts the volume at 23.7 Å³/atom. The value obtained for the formation energy is 0.322 eV/atom.

The space group is Pm-3m (No. 221) and the conventional cell measures 4.911, 4.911 and 4.911 Å, with angles of 90.00, 90.00 and 90.00 degrees. Symmetry generates all atoms from Tl at (0.000, 0.000, 0.000), Re at (0.500, 0.500, 0.500) and Ge at (0.000, 0.500, 0.500).



TlReGe2 | PBE | optimized geometry

The crystal system is tetragonal. The calculation puts the excess energy over the best structure of this formula in the dataset at 36.3 kJ per mole of atoms. The calculation puts the volume at 32.4 Å³/atom. The value obtained for the formation energy is 0.633 eV/atom.

The space group is I-42d (No. 122) and the conventional cell measures 5.975, 5.975 and 14.525 Å, with angles of 90.00, 90.00 and 90.00 degrees. Symmetry generates all atoms from Tl at (0.000, 0.000, 0.000), Re at (0.000, 0.000, 0.500) and Ge at (0.002, 0.750, 0.625).



TlRe3Ge | PBE | optimized geometry

The crystal system is cubic. The calculation puts the excess energy over the best structure of this formula in the dataset at 0.0 kJ per mole of atoms. The calculation puts the volume at 19.5 Å³/atom. The value obtained for the formation energy is 1.802 eV/atom.

The space group is Pm-3m (No. 221) and the conventional cell measures 4.604, 4.604 and 4.604 Å, with angles of 90.00, 90.00 and 90.00 degrees. Symmetry generates all atoms from Tl at (0.000, 0.000, 0.000), Re at (0.000, 0.500, 0.500) and Ge at (0.500, 0.500, 0.500).



TlRe2Ge | PBE | optimized geometry

The crystal system is cubic. The calculation puts the excess energy over the best structure of this formula in the dataset at 6.3 kJ per mole of atoms. The calculation puts the volume at 16.6 Å³/atom. The value obtained for the formation energy is 0.979 eV/atom.

The space group is Fm-3m (No. 225) and the conventional cell measures 6.425, 6.425 and 6.425 Å, with angles of 90.00, 90.00 and 90.00 degrees. Symmetry generates all atoms from Tl at (0.000, 0.000, 0.000), Re at (0.250, 0.250, 0.250) and Ge at (0.000, 0.000, 0.500).



TlReGe2 | PBE | optimized geometry

The crystal system is trigonal. The calculation puts the excess energy over the best structure of this formula in the dataset at 0.0 kJ per mole of atoms. The calculation puts the volume at 20.3 Å³/atom. The value obtained for the formation energy is 0.257 eV/atom.

The space group is R-3m (No. 166, hexagonal axes) and the conventional cell measures 3.1867, 3.1867 and 27.7282 Å, with angles of 90.00, 90.00 and 120.00 degrees. Symmetry generates all atoms from Tl at (0.0000, 0.0000, 0.0000), Re at (0.0000, 0.0000, 0.5000) and Ge at (0.0000, 0.0000, 0.1025).